ScCr3O | PBE+U | optimized geometry

As for the crystal system: cubic. The distance to the lowest polymorph of the same formula is 1991 meV/atom. Its space-group type is Pm-3m (221). Its total moment is 14.77 μB per formula unit.

Cell and atoms, written as POSCAR:
```
ScCr3O
1.0
-1.9996 -4.8135 0.2682
4.2225 -1.6086 2.6120
-2.3263 1.2177 4.5106
Cr Sc O
3 1 1
direct
0.0000 0.5000 0.0000
0.5000 0.0000 0.0000
0.0000 0.0000 0.5000
0.0000 0.0000 0.0000
0.5000 0.5000 0.5000
```